Density functional theory data (PBE) for a relaxed structure of CeTm12Th5.

a b c (Å): 10.485 3.521 14.922
angles (deg): 90.00 90.59 90.00
Fractional positions:
Ce  0.000  0.000  0.000
Tm  0.002  0.000  0.669
Tm  0.166  0.500  0.165
Tm  0.169  0.500  0.501
Tm  0.331  0.000  0.000
Tm  0.336  0.000  0.334
Tm  0.497  0.500  0.833
Tm  0.503  0.500  0.167
Tm  0.664  0.000  0.666
Tm  0.669  0.000  0.000
Tm  0.831  0.500  0.499
Tm  0.834  0.500  0.835
Tm  0.998  0.000  0.331
Th  0.165  0.500  0.836
Th  0.332  0.000  0.667
Th  0.500  0.500  0.500
Th  0.668  0.000  0.333
Th  0.835  0.500  0.164

## Properties
- total moment (μB/f.u.) = 0.26
- formation energy from the elements (eV per atom) = 0.024
- theoretical density (g/cm³) = 10.030
- E_tot (eV/atom) = -5.3475